Record 1
A crystal of LaTeAu2 relaxed with PBEsol. Source: the Alexandria database, functional SCAN.

Unit cell a=5.891 b=5.891 c=5.891 alpha=136.63 beta=136.63 gamma=63.00
Atoms (fractional coordinates):
La (0.000, 0.000, 0.000)
Te (0.750, 0.250, 0.500)
Au (0.250, 0.750, 0.500)
Au (0.500, 0.500, 0.000)

Computed properties:
symmetry = I-4m2 (119)
formation energy from raw total energies = -730 meV/atom


Record 2
A crystal of LiPRu2Br relaxed with PBEsol. Source: the Alexandria database, functional SCAN.

Unit cell a=4.501 b=4.501 c=4.894 alpha=90.00 beta=90.00 gamma=90.00
Atoms (fractional coordinates):
Li (0.000, 0.000, 0.000)
P (0.500, 0.500, 0.000)
Ru (0.000, 0.500, 0.500)
Ru (0.500, 0.000, 0.500)
Br (0.500, 0.500, 0.500)

Computed properties:
symmetry = P4/mmm (123)
formation energy from raw total energies = 1556 meV/atom


Record 3
A crystal of ZrPSeO2 relaxed with PBEsol. Source: the Alexandria database, functional SCAN.

Unit cell a=3.851 b=3.851 c=4.865 alpha=90.00 beta=90.00 gamma=90.00
Atoms (fractional coordinates):
Zr (0.000, 0.000, 0.000)
P (0.500, 0.500, 0.000)
Se (0.500, 0.500, 0.500)
O (0.000, 0.500, 0.500)
O (0.500, 0.000, 0.500)

Computed properties:
symmetry = P4/mmm (123)
formation energy from raw total energies = -492 meV/atom


Record 4
A crystal of Tl2InSe relaxed with PBEsol. Source: the Alexandria database, functional SCAN.

Unit cell a=5.328 b=5.328 c=5.328 alpha=60.00 beta=60.00 gamma=60.00
Atoms (fractional coordinates):
Tl (0.250, 0.250, 0.250)
Tl (0.750, 0.750, 0.750)
In (0.000, 0.000, 0.000)
Se (0.500, 0.500, 0.500)

Computed properties:
symmetry = Fm-3m (225)
formation energy from raw total energies = -29 meV/atom


Record 5
A crystal of MnFeP2O8 relaxed with PBEsol. Source: the Alexandria database, functional SCAN.

Unit cell a=5.885 b=4.827 c=9.789 alpha=90.00 beta=90.00 gamma=90.00
Atoms (fractional coordinates):
Mn (0.000, 0.178, 0.000)
Mn (0.000, 0.822, 0.500)
Fe (0.500, 0.299, 0.561)
Fe (0.500, 0.701, 0.061)
P (0.000, 0.341, 0.685)
P (0.000, 0.659, 0.185)
P (0.500, 0.154, 0.880)
P (0.500, 0.846, 0.380)
O (0.000, 0.025, 0.661)
O (0.000, 0.388, 0.840)
O (0.000, 0.612, 0.340)
O (0.000, 0.975, 0.161)
O (0.206, 0.486, 0.615)
O (0.206, 0.514, 0.115)
O (0.298, 0.005, 0.954)
O (0.298, 0.995, 0.454)
O (0.500, 0.092, 0.727)
O (0.500, 0.465, 0.906)
O (0.500, 0.535, 0.406)
O (0.500, 0.908, 0.227)
O (0.702, 0.005, 0.954)
O (0.702, 0.995, 0.454)
O (0.794, 0.486, 0.615)
O (0.794, 0.514, 0.115)

Computed properties:
symmetry = Pmc2_1 (26)
formation energy from raw total energies = -2255 meV/atom


Record 6
A crystal of Ba8Lu3Pt4O18 relaxed with PBEsol. Source: the Alexandria database, functional SCAN.

Unit cell a=8.264 b=8.264 c=8.264 alpha=90.00 beta=90.00 gamma=90.00
Atoms (fractional coordinates):
Ba (0.239, 0.239, 0.239)
Ba (0.239, 0.239, 0.761)
Ba (0.239, 0.761, 0.239)
Ba (0.239, 0.761, 0.761)
Ba (0.761, 0.239, 0.239)
Ba (0.761, 0.239, 0.761)
Ba (0.761, 0.761, 0.239)
Ba (0.761, 0.761, 0.761)
Lu (0.000, 0.000, 0.500)
Lu (0.000, 0.500, 0.000)
Lu (0.500, 0.000, 0.000)
Pt (0.000, 0.000, 0.000)
Pt (0.000, 0.500, 0.500)
Pt (0.500, 0.000, 0.500)
Pt (0.500, 0.500, 0.000)
O (0.000, 0.000, 0.241)
O (0.000, 0.000, 0.759)
O (0.000, 0.241, 0.000)
O (0.000, 0.259, 0.500)
O (0.000, 0.500, 0.259)
O (0.000, 0.500, 0.741)
O (0.000, 0.741, 0.500)
O (0.000, 0.759, 0.000)
O (0.241, 0.000, 0.000)
O (0.259, 0.000, 0.500)
O (0.259, 0.500, 0.000)
O (0.500, 0.000, 0.259)
O (0.500, 0.000, 0.741)
O (0.500, 0.259, 0.000)
O (0.500, 0.741, 0.000)
O (0.741, 0.000, 0.500)
O (0.741, 0.500, 0.000)
O (0.759, 0.000, 0.000)

Computed properties:
symmetry = Pm-3m (221)
formation energy from raw total energies = -2605 meV/atom


Record 7
A crystal of PtRhBr relaxed with PBEsol. Source: the Alexandria database, functional SCAN.

Unit cell a=5.849 b=5.849 c=5.849 alpha=150.33 beta=150.33 gamma=42.46
Atoms (fractional coordinates):
Pt (0.000, 0.000, 0.000)
Rh (0.653, 0.653, 0.000)
Br (0.306, 0.306, 0.000)

Computed properties:
symmetry = I4mm (107)
formation energy from raw total energies = 670 meV/atom


Record 8
A crystal of Zn3CuAu relaxed with PBEsol. Source: the Alexandria database, functional SCAN.

Unit cell a=4.770 b=4.770 c=4.770 alpha=90.00 beta=90.00 gamma=90.00
Atoms (fractional coordinates):
Zn (0.000, 0.000, 0.500)
Zn (0.000, 0.500, 0.000)
Zn (0.500, 0.000, 0.000)
Cu (0.500, 0.500, 0.500)
Au (0.000, 0.000, 0.000)

Computed properties:
symmetry = Pm-3m (221)
formation energy = 0.51 eV per atom


Record 9
A crystal of Sr5Bi3 relaxed with PBEsol. Source: the Alexandria database, functional SCAN.

Unit cell a=9.639 b=9.639 c=7.397 alpha=90.00 beta=90.00 gamma=120.00
Atoms (fractional coordinates):
Sr (0.000, 0.252, 0.250)
Sr (0.000, 0.748, 0.750)
Sr (0.252, 0.000, 0.250)
Sr (0.252, 0.252, 0.750)
Sr (0.333, 0.667, 0.000)
Sr (0.333, 0.667, 0.500)
Sr (0.667, 0.333, 0.000)
Sr (0.667, 0.333, 0.500)
Sr (0.748, 0.000, 0.750)
Sr (0.748, 0.748, 0.250)
Bi (0.000, 0.391, 0.750)
Bi (0.000, 0.609, 0.250)
Bi (0.391, 0.000, 0.750)
Bi (0.391, 0.391, 0.250)
Bi (0.609, 0.000, 0.250)
Bi (0.609, 0.609, 0.750)

Computed properties:
symmetry = P6_3/mcm (193)
formation energy = -0.99 eV per atom


Record 10
A crystal of CuSiAg relaxed with PBEsol. Source: the Alexandria database, functional SCAN.

Unit cell a=5.990 b=5.978 c=2.732 alpha=77.04 beta=76.57 gamma=26.40
Atoms (fractional coordinates):
Cu (0.000, 0.000, 0.000)
Si (0.637, 0.637, 0.363)
Ag (0.325, 0.325, 0.675)

Computed properties:
symmetry = Fmm2 (42)
formation energy from raw total energies = 224 meV/atom


Record 11
A crystal of Fe2AsPb relaxed with PBEsol. Source: the Alexandria database, functional SCAN.

Unit cell a=4.452 b=4.452 c=4.452 alpha=60.00 beta=60.00 gamma=60.00
Atoms (fractional coordinates):
Fe (0.250, 0.250, 0.250)
Fe (0.750, 0.750, 0.750)
As (0.000, 0.000, 0.000)
Pb (0.500, 0.500, 0.500)

Computed properties:
symmetry = Fm-3m (225)
formation energy = 0.54 eV per atom


Record 12
A crystal of Y2AgPt2 relaxed with PBEsol. Source: the Alexandria database, functional SCAN.

Unit cell a=7.524 b=7.524 c=3.668 alpha=90.00 beta=90.00 gamma=90.00
Atoms (fractional coordinates):
Y (0.168, 0.332, 0.000)
Y (0.332, 0.832, 0.000)
Y (0.668, 0.168, 0.000)
Y (0.832, 0.668, 0.000)
Ag (0.000, 0.000, 0.500)
Ag (0.500, 0.500, 0.500)
Pt (0.133, 0.633, 0.500)
Pt (0.367, 0.133, 0.500)
Pt (0.633, 0.867, 0.500)
Pt (0.867, 0.367, 0.500)

Computed properties:
symmetry = P4/mbm (127)
formation energy = -1.15 eV per atom


Record 13
A crystal of LiY2Ni2 relaxed with PBEsol. Source: the Alexandria database, functional SCAN.

Unit cell a=5.261 b=5.261 c=5.261 alpha=121.93 beta=121.93 gamma=86.69
Atoms (fractional coordinates):
Li (0.000, 0.000, 0.000)
Y (0.250, 0.750, 0.500)
Y (0.750, 0.250, 0.500)
Ni (0.350, 0.350, 0.000)
Ni (0.650, 0.650, 0.000)

Computed properties:
symmetry = I4/mmm (139)
formation energy = -0.10 eV per atom


Record 14
A crystal of MgCd2In relaxed with PBEsol. Source: the Alexandria database, functional SCAN.

Unit cell a=5.337 b=5.337 c=3.308 alpha=90.00 beta=90.00 gamma=110.46
Atoms (fractional coordinates):
Mg (0.000, 0.000, 0.000)
Cd (0.000, 0.500, 0.500)
Cd (0.500, 0.000, 0.500)
In (0.500, 0.500, 0.000)

Computed properties:
symmetry = Cmmm (65)
formation energy = -0.06 eV per atom


Record 15
A crystal of Pr2AlSi relaxed with PBEsol. Source: the Alexandria database, functional SCAN.

Unit cell a=4.060 b=6.076 c=6.076 alpha=42.84 beta=90.00 gamma=90.00
Atoms (fractional coordinates):
Pr (0.000, 0.000, 0.000)
Pr (0.500, 0.287, 0.287)
Al (0.500, 0.579, 0.579)
Si (0.000, 0.714, 0.714)

Computed properties:
symmetry = Amm2 (38)
formation energy from raw total energies = -647 meV/atom


Record 16
A crystal of LaNdCo10 relaxed with PBEsol. Source: the Alexandria database, functional SCAN.

Unit cell a=3.907 b=4.908 c=8.536 alpha=90.00 beta=90.00 gamma=90.00
Atoms (fractional coordinates):
La (0.000, 0.000, 0.000)
Nd (0.000, 0.500, 0.500)
Co (0.000, 0.000, 0.328)
Co (0.000, 0.000, 0.672)
Co (0.000, 0.500, 0.165)
Co (0.000, 0.500, 0.835)
Co (0.500, 0.000, 0.500)
Co (0.500, 0.255, 0.255)
Co (0.500, 0.255, 0.745)
Co (0.500, 0.500, 0.000)
Co (0.500, 0.745, 0.255)
Co (0.500, 0.745, 0.745)

Computed properties:
symmetry = Pmmm (47)
formation energy = 0.05 eV per atom


Record 17
A crystal of KRbCd2 relaxed with PBEsol. Source: the Alexandria database, functional SCAN.

Unit cell a=6.038 b=6.038 c=6.038 alpha=60.00 beta=60.00 gamma=60.00
Atoms (fractional coordinates):
K (0.000, 0.000, 0.000)
Rb (0.500, 0.500, 0.500)
Cd (0.250, 0.250, 0.250)
Cd (0.750, 0.750, 0.750)

Computed properties:
symmetry = Fm-3m (225)
formation energy = 0.04 eV per atom


Record 18
A crystal of TaBi3Te relaxed with PBEsol. Source: the Alexandria database, functional SCAN.

Unit cell a=5.634 b=5.634 c=5.634 alpha=90.00 beta=90.00 gamma=90.00
Atoms (fractional coordinates):
Ta (0.000, 0.000, 0.000)
Bi (0.000, 0.500, 0.500)
Bi (0.500, 0.000, 0.500)
Bi (0.500, 0.500, 0.000)
Te (0.500, 0.500, 0.500)

Computed properties:
symmetry = Pm-3m (221)
formation energy from raw total energies = 1738 meV/atom


Record 19
A crystal of YIn relaxed with PBEsol. Source: the Alexandria database, functional SCAN.

Unit cell a=6.271 b=6.271 c=6.271 alpha=144.76 beta=132.89 gamma=60.18
Atoms (fractional coordinates):
Y (0.369, 0.119, 0.250)
Y (0.631, 0.881, 0.750)
In (0.107, 0.357, 0.750)
In (0.893, 0.643, 0.250)

Computed properties:
symmetry = Imma (74)
formation energy = -0.60 eV per atom


Record 20
A crystal of Cu2NiPCl relaxed with PBEsol. Source: the Alexandria database, functional SCAN.

Unit cell a=4.617 b=4.617 c=3.950 alpha=90.00 beta=90.00 gamma=90.00
Atoms (fractional coordinates):
Cu (0.000, 0.500, 0.000)
Cu (0.500, 0.000, 0.000)
Ni (0.000, 0.000, 0.000)
P (0.000, 0.000, 0.500)
Cl (0.500, 0.500, 0.500)

Computed properties:
symmetry = P4/mmm (123)
formation energy from raw total energies = 443 meV/atom


Record 21
A crystal of ZnNi2Br relaxed with PBEsol. Source: the Alexandria database, functional SCAN.

Unit cell a=4.218 b=4.218 c=6.628 alpha=117.66 beta=117.66 gamma=40.80
Atoms (fractional coordinates):
Zn (0.000, 0.000, 0.000)
Ni (0.347, 0.347, 0.159)
Ni (0.653, 0.653, 0.841)
Br (0.000, 0.000, 0.500)

Computed properties:
symmetry = C2/m (12)
formation energy from raw total energies = 156 meV/atom


Record 22
A crystal of Ba2SrAg relaxed with PBEsol. Source: the Alexandria database, functional SCAN.

Unit cell a=4.085 b=4.085 c=10.439 alpha=90.00 beta=90.00 gamma=90.00
Atoms (fractional coordinates):
Ba (0.000, 0.000, 0.182)
Ba (0.000, 0.000, 0.818)
Sr (0.500, 0.500, 0.500)
Ag (0.500, 0.500, 0.000)

Computed properties:
symmetry = P4/mmm (123)
formation energy = -0.12 eV per atom


Record 23
A crystal of YTeOs2 relaxed with PBEsol. Source: the Alexandria database, functional SCAN.

Unit cell a=4.856 b=4.856 c=4.856 alpha=126.71 beta=126.71 gamma=78.73
Atoms (fractional coordinates):
Y (0.000, 0.000, 0.000)
Te (0.500, 0.500, 0.000)
Os (0.250, 0.750, 0.500)
Os (0.750, 0.250, 0.500)

Computed properties:
symmetry = I4/mmm (139)
formation energy from raw total energies = 288 meV/atom


Record 24
A crystal of MgZnCd2 relaxed with PBEsol. Source: the Alexandria database, functional SCAN.

Unit cell a=5.229 b=5.229 c=5.229 alpha=132.28 beta=132.28 gamma=69.78
Atoms (fractional coordinates):
Mg (0.000, 0.000, 0.000)
Zn (0.500, 0.500, 0.000)
Cd (0.250, 0.750, 0.500)
Cd (0.750, 0.250, 0.500)

Computed properties:
symmetry = I4/mmm (139)
formation energy = -0.03 eV per atom


Record 25
A crystal of BeSi2O relaxed with PBEsol. Source: the Alexandria database, functional SCAN.

Unit cell a=5.908 b=5.908 c=5.908 alpha=134.20 beta=134.20 gamma=66.78
Atoms (fractional coordinates):
Be (0.000, 0.000, 0.000)
Be (0.750, 0.250, 0.500)
Si (0.155, 0.625, 0.030)
Si (0.375, 0.405, 0.530)
Si (0.595, 0.125, 0.970)
Si (0.875, 0.845, 0.470)
O (0.250, 0.750, 0.500)
O (0.500, 0.500, 0.000)

Computed properties:
symmetry = I-42d (122)
formation energy from raw total energies = -166 meV/atom


Record 26
A crystal of Sr2Ru2I relaxed with PBEsol. Source: the Alexandria database, functional SCAN.

Unit cell a=9.922 b=9.922 c=9.922 alpha=158.67 beta=158.67 gamma=30.35
Atoms (fractional coordinates):
Sr (0.123, 0.123, 0.000)
Sr (0.877, 0.877, 0.000)
Ru (0.250, 0.750, 0.500)
Ru (0.750, 0.250, 0.500)
I (0.500, 0.500, 0.000)

Computed properties:
symmetry = I4/mmm (139)
formation energy from raw total energies = -118 meV/atom


Magnetization (computed, μB per cell): 0.00; 0.00; 0.00; 0.00; 18.00; 1.13; 0.00; 0.00; 1.93; 0.00; 5.35; 0.00; 0.00; 0.00; 0.70; 15.06; 0.00; 3.05; 0.00; 0.00; 0.00; 0.18; 0.00; 0.00; 0.00; 1.44
Energy (computed, eV per cell): -221.6; -94.1; -76.1; -198.3; -268.2; -961.3; -121.4; -122.4; -710.1; -55.9; -130.1; -466.4; -90.9; -99.4; -107.0; -259.2; -89.7; -330.9; -124.9; -62.7; -64.7; -133.2; -207.7; -79.4; -62.6; -151.5